{
  "formula": "SrNi2O",
  "functional": "PBE+U",
  "state": "optimized geometry",
  "final_energy_ev_per_atom": -3.134,
  "space_group": "Fd-3m",
  "dos_ef_per_ev_atom": 0.0000,
  "volume_a3_per_cell": 144.9,
  "rho_g_cm3": 5.07,
  "cell": [[-0.879, 5.806, 0.490], [-5.495, -0.990, 1.883], [-1.814, 2.283, 5.125]],
  "species": ["Sr", "Sr", "Ni", "Ni", "Ni", "Ni", "O", "O"],
  "fractional_positions": [[0.750, 0.250, 0.500], [0.000, 0.000, 0.000], [0.375, 0.625, 0.250], [0.875, 0.625, 0.750], [0.375, 0.125, 0.250], [0.375, 0.625, 0.750], [0.250, 0.750, 0.500], [0.500, 0.500, 0.000]]
}